1.
Entry from the Alexandria database: crystalline Ba2AlHgIr at its relaxed geometry (PBE).

The structure in extended XYZ format:
```
5
Lattice="6.1150 0.0000 0.0000 0.0000 6.1150 0.0000 0.0000 0.0000 4.8133" Properties=species:S:1:pos:R:3 pbc="T T T"
Ba 0.0000 3.0575 0.0000
Ba 3.0575 0.0000 0.0000
Al 0.0000 0.0000 2.4066
Hg 3.0575 3.0575 2.4066
Ir 0.0000 0.0000 0.0000
```

Formation energy from the elements   -311 meV per atom
Density of states at the Fermi level   0.63 states/eV/atom
Crystal system   tetragonal
Total moment   0.00 μB/f.u.
Theoretical density   6.41 Mg/m³

---

2.
Entry from the Alexandria database: crystalline BaLaAlHg at its relaxed geometry (PBE).

The structure in extended XYZ format:
```
4
Lattice="0.0000 4.0209 4.0209 4.0209 0.0000 4.0209 4.0209 4.0209 0.0000" Properties=species:S:1:pos:R:3 pbc="T T T"
Ba 0.0000 0.0000 0.0000
La 4.0209 4.0209 4.0209
Al 6.0313 6.0313 6.0313
Hg 2.0104 2.0104 2.0104
```

Formation energy from the elements   -264 meV per atom
Density of states at the Fermi level   0.96 states/eV/atom
Crystal system   cubic
Total moment   0.00 μB/f.u.
Theoretical density   6.43 Mg/m³

---

3.
Entry from the Alexandria database: crystalline BaLaAl2Hg at its relaxed geometry (PBE).

The structure in extended XYZ format:
```
5
Lattice="5.7743 0.0000 0.0000 0.0000 5.7743 0.0000 0.0000 0.0000 6.0036" Properties=species:S:1:pos:R:3 pbc="T T T"
Ba 0.0000 0.0000 0.0000
La 0.0000 0.0000 3.0018
Al 0.0000 2.8871 0.0000
Al 2.8871 0.0000 0.0000
Hg 2.8871 2.8871 3.0018
```

Formation energy from the elements   1100 meV per atom
Density of states at the Fermi level   1.07 states/eV/atom
Crystal system   tetragonal
Total moment   0.47 μB/f.u.
Theoretical density   4.40 Mg/m³

---

4.
Entry from the Alexandria database: crystalline BaLiAlHg2 at its relaxed geometry (PBE).

The structure in extended XYZ format:
```
5
Lattice="-2.3859 2.3859 5.7724 2.3859 -2.3859 5.7724 2.3859 2.3859 -5.7724" Properties=species:S:1:pos:R:3 pbc="T T T"
Ba 0.0000 0.0000 0.0000
Li 0.0000 2.3859 2.8862
Al 2.3859 0.0000 2.8862
Hg 0.0000 0.0000 4.2317
Hg 0.0000 0.0000 7.3132
```

Formation energy from the elements   -359 meV per atom
Density of states at the Fermi level   0.44 states/eV/atom
Crystal system   tetragonal
Total moment   0.00 μB/f.u.
Theoretical density   7.23 Mg/m³